(1)
{
  "formula": "Cs2Tl2Cl5",
  "functional": "PBE",
  "state": "relaxed",
  "cell": [[-4.532, 3.834, -5.347], [3.124, -4.156, -5.629], [-7.728, -7.965, 6.808]],
  "species": ["Cl", "Cl", "Cl", "Cl", "Cl", "Cl", "Cl", "Cl", "Cl", "Cl", "Tl", "Tl", "Tl", "Tl", "Cs", "Cs", "Cs", "Cs"],
  "frac_coords": [[0.758, 0.243, 0.014], [0.756, 0.743, 0.014], [0.412, 0.362, 0.757], [0.242, 0.229, 0.986], [0.155, 0.105, 0.243], [0.244, 0.729, 0.986], [0.588, 0.605, 0.243], [0.843, 0.166, 0.500], [0.845, 0.862, 0.757], [0.157, 0.666, 0.500], [0.202, 0.273, 0.500], [0.500, 0.485, 0.000], [0.798, 0.773, 0.500], [0.000, 0.985, 0.000], [0.123, 0.595, 0.216], [0.594, 0.095, 0.216], [0.877, 0.379, 0.784], [0.406, 0.879, 0.784]],
  "dft_energy_ev_per_atom": -3.117,
  "formation_energy_uncorrected_kcal_per_mol_atoms": -31.712
}


(2)
{
  "formula": "Cs2TlCl",
  "functional": "PBE",
  "state": "relaxed",
  "cell": [[-4.981, 4.981, 4.631], [4.981, -4.981, 4.631], [4.981, 4.981, -4.631]],
  "species": ["Tl", "Tl", "Cs", "Cs", "Cs", "Cs", "Cl", "Cl"],
  "frac_coords": [[0.000, 0.000, 0.000], [0.250, 0.750, 0.500], [0.125, 0.561, 0.936], [0.439, 0.375, 0.564], [0.811, 0.875, 0.436], [0.625, 0.189, 0.064], [0.500, 0.500, 0.000], [0.750, 0.250, 0.500]],
  "dft_energy_ev_per_atom": -2.216,
  "formation_energy_uncorrected_kcal_per_mol_atoms": -16.973,
  "e_above_lowest_polymorph_ev_per_fu": 0.55
}